## TiSb (PBE)

Data for a relaxed TiSb crystal.

abc: 7.4988 5.8519 7.7749
angles: 90.00 90.00 90.00
Atoms (fractional coordinates):
Sb 0.1393 0.4386 0.0207
Ti 0.5079 0.0372 0.6350
Ti 0.0079 0.4628 0.3650
Ti 0.4921 0.5372 0.8650
Sb 0.7427 0.5899 0.1233
Sb 0.3607 0.5614 0.5207
Sb 0.8607 0.9386 0.4793
Sb 0.2427 0.9101 0.8767
Sb 0.7573 0.4101 0.6233
Ti 0.8846 0.7592 0.8108
Ti 0.3846 0.7408 0.1892
Sb 0.2573 0.0899 0.3767
Ti 0.6154 0.2408 0.3108
Sb 0.6393 0.0614 0.9793
Ti 0.9921 0.9628 0.1350
Ti 0.1154 0.2592 0.6892

Calculated values
Its energy relative to the elements, uncorrected is -0.292 eV per atom.